# 1
A plane-wave DFT calculation with PBE was carried out for a geometry-optimized LiSnSb2 structure.

Calculated values
Its total energy is -3.5947 eV/atom. As for the space group: No. 166.

Unit cell a=3.926 b=3.926 c=8.216 alpha=76.18 beta=76.18 gamma=60.00
Atoms (fractional coordinates):
Sn (0.000, 0.000, 0.000)
Sb (0.248, 0.248, 0.256)
Li (0.500, 0.500, 0.500)
Sb (0.752, 0.752, 0.744)

=====

# 2
A plane-wave DFT calculation with PBE was carried out for a geometry-optimized LiSnSb2 structure.

Calculated values
Its total energy is -3.5527 eV/atom. As for the space group: No. 122.

Unit cell a=6.661 b=6.661 c=7.626 alpha=64.10 beta=64.10 gamma=90.00
Atoms (fractional coordinates):
Li (0.250, 0.750, 0.500)
Sb (0.139, 0.625, 0.250)
Sb (0.611, 0.125, 0.250)
Sn (0.000, 0.000, 0.000)
Sb (0.375, 0.389, 0.750)
Sn (0.750, 0.250, 0.500)
Sb (0.875, 0.861, 0.750)
Li (0.500, 0.500, 0.000)

=====

# 3
A plane-wave DFT calculation with PBE was carried out for a geometry-optimized LiSnSb structure.

Calculated values
Its energy above the most stable polymorph in this dataset is 123.3 meV/atom. As for the space group: No. 156.

Unit cell a=3.259 b=5.225 c=5.225 alpha=120.00 beta=90.00 gamma=90.00
Atoms (fractional coordinates):
Sn (0.166, 0.667, 0.333)
Sb (0.165, 0.000, 0.000)
Li (0.669, 0.333, 0.667)

=====

# 4
A plane-wave DFT calculation with PBE was carried out for a geometry-optimized Li5SnSb3 structure.

Calculated values
Its total energy is -3.3035 eV/atom. As for the space group: No. 15.

Unit cell a=6.653 b=8.059 c=9.535 alpha=106.61 beta=90.00 gamma=114.38
Atoms (fractional coordinates):
Sn (0.735, 0.000, 0.750)
Sn (0.265, 0.000, 0.250)
Li (0.103, 0.678, 0.428)
Sb (0.000, 0.000, 0.000)
Li (0.752, 0.000, 0.250)
Li (0.574, 0.678, 0.928)
Li (0.426, 0.322, 0.072)
Sb (0.672, 0.340, 0.828)
Li (0.577, 0.666, 0.418)
Li (0.897, 0.322, 0.572)
Sb (0.332, 0.660, 0.672)
Li (0.911, 0.334, 0.082)
Sb (0.000, 0.000, 0.500)
Li (0.248, 0.000, 0.750)
Li (0.089, 0.666, 0.918)
Sb (0.668, 0.340, 0.328)
Li (0.423, 0.334, 0.582)
Sb (0.328, 0.660, 0.172)

=====

# 5
A plane-wave DFT calculation with PBE was carried out for a geometry-optimized Li2Sn2Sb structure.

Calculated values
Its energy above the most stable polymorph in this dataset is 72.1 meV/atom. As for the space group: No. 127.

Unit cell a=8.265 b=8.265 c=3.360 alpha=90.00 beta=90.00 gamma=90.00
Atoms (fractional coordinates):
Li (0.828, 0.328, 0.500)
Sn (0.128, 0.372, 0.000)
Li (0.328, 0.172, 0.500)
Li (0.172, 0.672, 0.500)
Sn (0.628, 0.128, 0.000)
Li (0.672, 0.828, 0.500)
Sb (0.500, 0.500, 0.000)
Sb (0.000, 0.000, 0.000)
Sn (0.872, 0.628, 0.000)
Sn (0.372, 0.872, 0.000)

=====

# 6
A plane-wave DFT calculation with PBE was carried out for a geometry-optimized Li3SnSb structure.

Calculated values
Its energy above the most stable polymorph in this dataset is 76.5 meV/atom. As for the space group: No. 14.

Unit cell a=7.328 b=7.554 c=7.870 alpha=98.58 beta=90.00 gamma=90.00
Atoms (fractional coordinates):
Sn (0.937, 0.184, 0.513)
Li (0.648, 0.332, 0.319)
Sb (0.677, 0.707, 0.474)
Li (0.352, 0.668, 0.681)
Li (0.326, 0.565, 0.294)
Li (0.674, 0.435, 0.706)
Li (0.148, 0.168, 0.181)
Li (0.582, 0.054, 0.674)
Li (0.418, 0.946, 0.326)
Li (0.174, 0.065, 0.794)
Sn (0.063, 0.816, 0.487)
Li (0.852, 0.832, 0.819)
Sb (0.323, 0.293, 0.526)
Li (0.826, 0.935, 0.206)
Sb (0.177, 0.793, 0.026)
Sn (0.563, 0.684, 0.013)
Li (0.918, 0.554, 0.174)
Sb (0.823, 0.207, 0.974)
Sn (0.437, 0.316, 0.987)
Li (0.082, 0.446, 0.826)

=====

# 7
A plane-wave DFT calculation with PBE was carried out for a geometry-optimized Li5SnSb4 structure.

Calculated values
Its total energy is -3.4075 eV/atom. As for the space group: No. 123.

Unit cell a=3.181 b=3.181 c=21.290 alpha=90.00 beta=90.00 gamma=90.00
Atoms (fractional coordinates):
Li (0.500, 0.500, 0.104)
Sb (0.000, 0.000, 0.200)
Li (0.500, 0.500, 0.699)
Li (0.500, 0.500, 0.500)
Li (0.500, 0.500, 0.301)
Sn (0.000, 0.000, 0.000)
Sb (0.000, 0.000, 0.600)
Sb (0.000, 0.000, 0.800)
Li (0.500, 0.500, 0.896)
Sb (0.000, 0.000, 0.400)

=====

# 8
A plane-wave DFT calculation with PBE was carried out for a geometry-optimized Li7SnSb4 structure.

Calculated values
Its energy above the most stable polymorph in this dataset is 77.6 meV/atom. As for the space group: No. 12.

Unit cell a=5.099 b=8.823 c=6.610 alpha=85.39 beta=67.32 gamma=73.20
Atoms (fractional coordinates):
Li (0.781, 0.899, 0.539)
Sb (0.293, 0.311, 0.102)
Sb (0.707, 0.689, 0.898)
Sb (0.574, 0.227, 0.625)
Sn (0.000, 0.000, 0.000)
Li (0.077, 0.648, 0.198)
Sb (0.426, 0.773, 0.375)
Li (0.219, 0.101, 0.461)
Li (0.353, 0.560, 0.735)
Li (0.647, 0.440, 0.265)
Li (0.923, 0.352, 0.802)
Li (0.500, 0.000, 0.000)